Here is an optimized crystal structure of Sc2MnTc from Alexandria. Energies are from PBE.

Output
As for the energy of formation from the pure elements: 0.418 eV per atom.

a b c (Å): 7.183 7.183 5.755
angles (deg): 90.00 90.00 90.00
Space group I-42d (No. 122)
Asymmetric unit:
Sc 0.241 0.750 0.125 (multiplicity 8)
Mn 0.000 0.000 0.500 (multiplicity 4)
Tc 0.000 0.000 0.000 (multiplicity 4)

---

Here is an optimized crystal structure of Er6Cd2Tc from Alexandria. Energies are from PBE.

Output
The energy above the most stable polymorph in this dataset comes out at 0 meV per atom. As for the energy of formation from the pure elements: -0.166 eV per atom.

a b c (Å): 8.3864 8.3864 3.9597
angles (deg): 90.00 90.00 120.00
Space group P-62m (No. 189)
Asymmetric unit:
Er 0.0000 0.2415 0.0000 (multiplicity 3)
Er 0.0000 0.6101 0.5000 (multiplicity 3)
Cd 0.3333 0.6667 0.0000 (multiplicity 2)
Tc 0.0000 0.0000 0.5000 (multiplicity 1)

---

Here is an optimized crystal structure of LiAc3Sn3 from Alexandria. Energies are from PBE.

Output
The energy above the most stable polymorph in this dataset comes out at 151 meV per atom. As for the energy of formation from the pure elements: -0.516 eV per atom.

a b c (Å): 8.703 11.867 9.148
angles (deg): 90.00 98.20 90.00
Space group C2/m (No. 12)
Asymmetric unit:
Li 0.241 0.000 0.467 (multiplicity 4)
Ac 0.000 0.251 0.500 (multiplicity 4)
Ac 0.000 0.315 0.000 (multiplicity 4)
Ac 0.124 0.000 0.833 (multiplicity 4)
Sn 0.017 0.500 0.288 (multiplicity 4)
Sn 0.221 0.151 0.227 (multiplicity 8)

---

Here is an optimized crystal structure of Ag8PSe6 from Alexandria. Energies are from PBE.

Output
The value obtained for the uncorrected formation energy is -0.86 eV per formula unit.

a b c (Å): 8.000 7.775 11.003
angles (deg): 90.00 90.00 90.00
Space group Pmn2_1 (No. 31)
Asymmetric unit:
Ag 0.000 0.123 0.000 (multiplicity 2)
Ag 0.000 0.226 0.438 (multiplicity 2)
Ag 0.198 0.039 0.226 (multiplicity 4)
Ag 0.206 0.600 0.822 (multiplicity 4)
Ag 0.206 0.664 0.115 (multiplicity 4)
P 0.000 0.749 0.477 (multiplicity 2)
Se 0.000 0.318 0.204 (multiplicity 2)
Se 0.000 0.507 0.610 (multiplicity 2)
Se 0.000 0.787 0.956 (multiplicity 2)
Se 0.000 0.985 0.604 (multiplicity 2)
Se 0.249 0.753 0.357 (multiplicity 4)

---

Here is an optimized crystal structure of Li2CaPdO from Alexandria. Energies are from PBE.

Output
The value obtained for the uncorrected formation energy is -6.14 eV per formula unit.

a b c (Å): 4.092 4.092 4.659
angles (deg): 90.00 90.00 90.00
Space group P4/mmm (No. 123)
Asymmetric unit:
Li 0.000 0.500 0.000 (multiplicity 2)
Ca 0.000 0.000 0.500 (multiplicity 1)
Pd 0.500 0.500 0.500 (multiplicity 1)
O 0.000 0.000 0.000 (multiplicity 1)

---

Here is an optimized crystal structure of CsSr2InB from Alexandria. Energies are from PBE.

Output
As for the energy of formation from the pure elements: 1.314 eV per atom.

a b c (Å): 6.402 6.402 4.811
angles (deg): 90.00 90.00 90.00
Space group P4/mmm (No. 123)
Asymmetric unit:
Cs 0.000 0.000 0.000 (multiplicity 1)
Sr 0.000 0.500 0.000 (multiplicity 2)
In 0.500 0.500 0.500 (multiplicity 1)
B 0.000 0.000 0.500 (multiplicity 1)